(1)
CrPN3 | GGA-PBE | relaxed

Summary:
The formation energy without anion corrections is 1.27 eV/atom. The calculation puts the size of the total moment at 0.000 μB per atom. Its calculated volume is 10.20 A^3/atom. As for the density: 4.07 Mg/m³. The space group is Pm-3m (221). The total energy is -6.733 eV per atom.

a b c (Å): 3.7086 3.7086 3.7086
angles (deg): 90.00 90.00 90.00
Fractional coordinates of all 5 atoms:
Cr (0.0000, 0.0000, 0.0000)
N (0.0000, 0.5000, 0.0000)
N (0.0000, 0.0000, 0.5000)
N (0.5000, 0.0000, 0.0000)
P (0.5000, 0.5000, 0.5000)

(2)
In2Pt3Pb2 | GGA-PBE | relaxed

Summary:
The calculation puts the size of the total moment at 0.000 μB per atom. The formation enthalpy at 0 K is -0.26 eV/atom. Its calculated volume is 23.57 A^3/atom. As for the density: 12.37 Mg/m³. The space group is P-1 (2). The total energy is -4.693 eV per atom.

a b c (Å): 4.5580 5.3607 7.6283
angles (deg): 100.44 90.19 115.34
Fractional coordinates of all 7 atoms:
In (0.6390, 0.2785, 0.9246)
In (0.3610, 0.7215, 0.0754)
Pt (0.0000, 0.0000, 0.0000)
Pt (0.8305, 0.6591, 0.2654)
Pt (0.1695, 0.3409, 0.7346)
Pb (0.8521, 0.7004, 0.6375)
Pb (0.1479, 0.2996, 0.3625)

(3)
ErThCoBr | GGA-PBE | relaxed

Summary:
The formation energy without anion corrections is -0.73 eV/atom. The calculation puts the size of the total moment at 0.000 μB per atom. Its calculated volume is 26.36 A^3/atom. As for the density: 8.48 Mg/m³. The space group is R3m (160). The total energy is -5.917 eV per atom.

a b c (Å): 3.9613 3.9608 8.0889
angles (deg): 90.01 104.16 120.00
Fractional coordinates of all 4 atoms:
Er (0.5115, 0.1535, 0.6804)
Th (0.0857, 0.9408, 0.0419)
Co (0.3064, 0.5510, 0.8727)
Br (0.9744, 0.3855, 0.3746)

(4)
Y11Zn9Rh4 | GGA-PBE | relaxed

Summary:
The calculation puts the size of the total moment at 0.000 μB per atom. The formation enthalpy at 0 K is -0.53 eV/atom. Its calculated volume is 21.88 A^3/atom. As for the density: 6.25 Mg/m³. The space group is Cmmm (65). The total energy is -5.196 eV per atom.

a b c (Å): 3.6887 12.4031 12.4031
angles (deg): 112.25 90.00 90.00
Fractional coordinates of all 24 atoms:
Y (0.0000, 0.5855, 0.9229)
Y (0.0000, 0.4145, 0.0771)
Y (0.0000, 0.9229, 0.5855)
Y (0.0000, 0.0771, 0.4145)
Y (0.0000, 0.6349, 0.3651)
Y (0.0000, 0.3651, 0.6349)
Y (0.0000, 0.8287, 0.1713)
Y (0.0000, 0.1713, 0.8287)
Y (0.0000, 0.0000, 0.0000)
Y (0.0000, 0.7191, 0.7191)
Y (0.0000, 0.2809, 0.2809)
Zn (0.5000, 0.6285, 0.1576)
Zn (0.5000, 0.3715, 0.8424)
Zn (0.5000, 0.1576, 0.6285)
Zn (0.5000, 0.8424, 0.3715)
Zn (0.5000, 0.7892, 0.9426)
Zn (0.5000, 0.2108, 0.0574)
Zn (0.5000, 0.9426, 0.7892)
Zn (0.5000, 0.0574, 0.2108)
Zn (0.5000, 0.5000, 0.5000)
Rh (0.5000, 0.5523, 0.7383)
Rh (0.5000, 0.4477, 0.2617)
Rh (0.5000, 0.7383, 0.5523)
Rh (0.5000, 0.2617, 0.4477)

(5)
TlAg2W | GGA-PBE | relaxed

Summary:
The energy relative to the lowest polymorph listed for this composition comes out at 1.2 kJ/mol of atoms. The calculation puts the size of the total moment at 0.000 μB per atom. The formation enthalpy at 0 K is 0.60 eV/atom. Its calculated volume is 19.44 A^3/atom. As for the density: 12.90 Mg/m³. The space group is Cmmm (65). The total energy is -4.660 eV per atom.

a b c (Å): 2.8656 2.8656 9.9747
angles (deg): 90.00 90.00 108.28
Fractional coordinates of all 4 atoms:
Tl (0.5000, 0.5000, 0.2500)
Ag (0.0000, 0.0000, 0.9788)
Ag (0.0000, 0.0000, 0.5212)
W (0.5000, 0.5000, 0.7500)

(6)
GaSnIrS2 | GGA-PBE | relaxed

Summary:
The energy relative to the lowest polymorph listed for this composition comes out at 0.0 kJ/mol of atoms. The formation energy without anion corrections is -0.45 eV/atom. The calculation puts the size of the total moment at 0.000 μB per atom. Its calculated volume is 20.41 A^3/atom. As for the density: 7.24 Mg/m³. The space group is Cm (8). The total energy is -5.282 eV per atom.

a b c (Å): 5.1281 3.9673 10.5896
angles (deg): 90.00 108.71 90.00
Fractional coordinates of all 10 atoms:
S (0.8576, 0.0000, 0.0149)
S (0.8576, 0.5000, 0.5149)
S (0.4629, 0.0000, 0.6667)
S (0.4629, 0.5000, 0.1667)
Ir (0.0944, 0.0000, 0.4510)
Ir (0.0944, 0.5000, 0.9510)
Sn (0.3412, 0.0000, 0.8819)
Sn (0.3412, 0.5000, 0.3819)
Ga (0.7812, 0.0000, 0.2235)
Ga (0.7812, 0.5000, 0.7235)